Record 1
Density functional theory data (GGA-PBE) for Al4Sb after structural relaxation.

Structure (POSCAR):
```
Al4Sb
1.0
-3.203 3.203 3.203
3.203 -3.203 3.203
3.203 3.203 -3.203
Al Sb
4 1
Direct
0.000 0.000 0.500
0.500 0.500 0.500
0.000 0.500 0.000
0.500 0.000 0.000
0.000 0.000 0.000
```

Results
N(E_F) = 2.958 states/eV/cell
total magnetic moment = 0.000 μB per atom
uncorrected formation energy = 0.6758 eV/atom
excess energy over the best structure of this formula in the dataset = 0.509 eV/atom
V = 131.40 Å³/f.u.


Record 2
Density functional theory data (GGA-PBE) for AlSb2 after structural relaxation.

Structure (POSCAR):
```
AlSb2
1.0
4.859 0.000 0.000
2.429 4.208 0.000
2.429 1.403 3.967
Sb Al
2 1
Direct
0.250 0.250 0.250
0.750 0.750 0.750
0.000 0.000 0.000
```

Results
N(E_F) = 1.960 states/eV/cell
total magnetic moment = 0.000 μB per atom
uncorrected formation energy = 0.1962 eV/atom
V = 81.10 Å³/f.u.


Record 3
Density functional theory data (GGA-PBE) for AlSb2 after structural relaxation.

Structure (POSCAR):
```
AlSb2
1.0
5.057 -2.538 1.394
-5.136 -2.750 0.129
0.676 1.225 -5.657
Al Sb
2 4
Direct
0.250 0.250 0.000
0.750 0.750 0.000
0.354 0.146 0.500
0.854 0.354 0.208
0.646 0.854 0.500
0.146 0.646 0.792
```

Results
N(E_F) = 2.930 states/eV/cell
total magnetic moment = 0.000 μB per atom
uncorrected formation energy = 0.2027 eV/atom
V = 72.62 Å³/f.u.


Record 4
Density functional theory data (GGA-PBE) for AlSb5 after structural relaxation.

Structure (POSCAR):
```
AlSb5
1.0
0.000 4.415 4.415
4.415 0.000 4.415
4.415 4.415 0.000
Sb Al
5 1
Direct
0.626 0.626 0.626
0.626 0.626 0.123
0.626 0.123 0.626
0.123 0.626 0.626
0.250 0.250 0.250
0.000 0.000 0.000
```

Results
N(E_F) = 2.808 states/eV/cell
total magnetic moment = 0.000 μB per atom
uncorrected formation energy = 0.4494 eV/atom
excess energy over the best structure of this formula in the dataset = 0.368 eV/atom
V = 172.11 Å³/f.u.


Record 5
Density functional theory data (GGA-PBE) for AlSb2 after structural relaxation.

Structure (POSCAR):
```
AlSb2
1.0
1.844 -8.105 0.000
1.844 8.105 0.000
0.000 0.000 4.985
Al Sb
2 4
Direct
0.081 0.919 0.250
0.919 0.081 0.750
0.720 0.280 0.250
0.566 0.434 0.750
0.280 0.720 0.750
0.434 0.566 0.250
```

Results
N(E_F) = 3.574 states/eV/cell
total magnetic moment = 0.000 μB per atom
uncorrected formation energy = 0.1846 eV/atom
V = 74.51 Å³/f.u.


Record 6
Density functional theory data (GGA-PBE) for Al7Sb after structural relaxation.

Structure (POSCAR):
```
Al7Sb
1.0
0.000 4.188 4.188
4.188 0.000 4.188
4.188 4.188 0.000
Al Sb
7 1
Direct
0.500 0.000 0.500
0.000 0.500 0.000
0.000 0.000 0.500
0.500 0.000 0.000
0.000 0.500 0.500
0.500 0.500 0.000
0.500 0.500 0.500
0.000 0.000 0.000
```

Results
N(E_F) = 5.252 states/eV/cell
total magnetic moment = 0.000 μB per atom
uncorrected formation energy = 0.1550 eV/atom
V = 146.88 Å³/f.u.